Entry 1:
## CaInSe2 (GGA-PBE)

Data for a relaxed structure of CaInSe2.

Computed properties:
Symmetry ... F-43m, No. 216
Raw formation energy ... -1.798 eV/f.u.
Crystal system ... cubic

Cell: 5.2254 5.2254 5.2254 Å, 60.00 60.00 60.00°
Last column: nearest neighbours and their distance in Å.
Positions (direct):
1 Ca 0.5000 0.5000 0.5000  4 In 3.20, 4 Se 3.20
2 Se 0.0000 0.0000 0.0000  4 Se 3.20, 4 In 3.20
3 Se 0.2500 0.2500 0.2500  4 Se 3.20, 4 Ca 3.20
4 In 0.7500 0.7500 0.7500  4 Ca 3.20, 4 Se 3.20

=====

Entry 2:
## KMnW2 (GGA-PBE)

Data for a relaxed structure of KMnW2.

Computed properties:
Symmetry ... Immm, No. 71
Energy above the most stable polymorph in this dataset ... 332 meV/atom
Crystal system ... orthorhombic

Cell: 6.2801 6.2801 6.2801 Å, 155.68 131.31 55.15°
Last column: nearest neighbours and their distance in Å.
Positions (direct):
1 K 0.2500 0.7500 0.5000  2 K 2.65, 4 Mn 2.91
2 Mn 0.7500 0.2500 0.5000  2 Mn 2.65, 4 W 2.67, 4 K 2.91
3 W 0.9588 0.9588 0.0000  2 W 2.65, 2 Mn 2.67
4 W 0.5412 0.5412 0.0000  2 W 2.65, 2 Mn 2.67

=====

Entry 3:
## SrCoTc (GGA-PBE)

Data for a relaxed structure of SrCoTc.

Computed properties:
Symmetry ... P6_3/mmc, No. 194
Energy above the most stable polymorph in this dataset ... 1320 meV/atom
Crystal system ... hexagonal

Cell: 5.3253 5.3253 8.5387 Å, 90.00 90.00 120.00°
Last column: nearest neighbours and their distance in Å.
Positions (direct):
1 Sr 0.3333 0.6667 0.2500  3 Tc 3.07
2 Sr 0.6667 0.3333 0.7500  3 Tc 3.07
3 Co 0.0000 0.0000 0.0000  2 Tc 2.13
4 Co 0.0000 0.0000 0.5000  2 Tc 2.13
5 Tc 0.0000 0.0000 0.2500  2 Co 2.13
6 Tc 0.0000 0.0000 0.7500  2 Co 2.13

=====

Entry 4:
## YZr2Hg (GGA-PBE)

Data for a relaxed structure of YZr2Hg.

Computed properties:
Symmetry ... F-43m, No. 216
Crystal system ... cubic
Final energy ... -5.919 eV/atom

Cell: 5.1349 5.1349 5.1349 Å, 60.00 60.00 60.00°
Last column: nearest neighbours and their distance in Å.
Positions (direct):
1 Hg 0.5000 0.5000 0.5000  4 Y 3.14, 4 Zr 3.14
2 Y 0.7500 0.7500 0.7500  4 Hg 3.14, 4 Zr 3.14
3 Zr 0.0000 0.0000 0.0000  4 Y 3.14, 4 Zr 3.14
4 Zr 0.2500 0.2500 0.2500  4 Hg 3.14, 4 Zr 3.14

=====

Number 1: spin magnetization 0.00 μB per formula unit. Number 2: spin magnetization 2.89 μB per formula unit. Number 3: spin magnetization 2.38 μB per formula unit. Number 4: spin magnetization 1.59 μB per formula unit.